First-principles (GGA-PBE) data for an optimized crystal structure of PrSm2Dy, as listed in Alexandria.

abc: 5.124 5.124 5.138
angles: 90.00 90.00 90.00
Element x y z (fractional)
Pr 0.000 0.000 0.000
Sm 0.000 0.500 0.500
Sm 0.500 0.000 0.500
Dy 0.500 0.500 0.000

## Properties
As for the crystal system: tetragonal. For the magnetic moment, the calculation gives 0.000 μB/atom. The space-group type is P4/mmm, No. 123. The uncorrected energy is -4.69 eV per atom.